A plane-wave DFT calculation with PBE-GGA was carried out for an optimized crystal structure of Ce4U.

E in eV/cell: -32.855
DOS(E_F) in states/eV/cell: 19.9

Cell: 5.346 5.346 5.346 Å, 90.00 90.00 90.00°
Space group Pm-3m (No. 221)
Symmetry-distinct sites (fractional):
Ce 0.000 0.000 0.000 x1
Ce 0.000 0.500 0.500 x3
U 0.500 0.500 0.500 x1

A plane-wave DFT calculation with PBE-GGA was carried out for an optimized crystal structure of CeU.

E in eV/cell: -33.917
DOS(E_F) in states/eV/cell: 12.3

Cell: 3.388 4.860 5.709 Å, 90.00 99.70 90.00°
Space group P2_1/m (No. 11)
Symmetry-distinct sites (fractional):
Ce 0.128 0.250 0.402 x2
U 0.346 0.750 0.021 x2

A plane-wave DFT calculation with PBE-GGA was carried out for an optimized crystal structure of CeU5.

E in eV/cell: -122.145
DOS(E_F) in states/eV/cell: 37.7

Cell: 5.274 11.961 3.994 Å, 90.00 90.00 90.00°
Space group Cmmm (No. 65)
Symmetry-distinct sites (fractional):
Ce 0.000 0.000 0.000 x2
U 0.000 0.181 0.500 x4
U 0.000 0.331 0.000 x4
U 0.000 0.500 0.500 x2

A plane-wave DFT calculation with PBE-GGA was carried out for an optimized crystal structure of Ce3U.

DOS(E_F) in states/eV/cell: 11.8
Excess energy over the best structure of this formula in the dataset in kcal/mol of atoms: 0.00

Cell: 3.006 5.159 6.147 Å, 90.00 90.00 90.00°
Space group Pmm2 (No. 25)
Symmetry-distinct sites (fractional):
Ce 0.000 0.000 0.000 x1
Ce 0.000 0.500 0.205 x1
Ce 0.500 0.500 0.677 x1
U 0.500 0.000 0.489 x1